SnMoAs: relaxed, PBE-GGA.

Geometry as extended XYZ:
```
3
Lattice="-3.6897 -2.4718 0.8877 -3.4648 1.8365 2.2659 -3.8902 0.8883 -2.1423" Properties=species:S:1:pos:R:3 pbc="T T T"
As -2.7612 0.0633 0.2528
Mo 0.0000 0.0000 0.0000
Sn -8.2835 0.1898 0.7585
```

Summary:
- Distance to the lowest polymorph of the same formula: 0.000 eV/f.u.

=====

SrMoAs2: relaxed, PBE-GGA.

Geometry as extended XYZ:
```
4
Lattice="4.2961 -1.6704 1.5666 1.7971 1.5233 4.2604 0.1907 -3.0484 3.7910" Properties=species:S:1:pos:R:3 pbc="T T T"
Mo 4.7129 -2.3967 7.2136
As 1.5710 -0.7989 2.4045
As 3.1420 -1.5978 4.8091
Sr 0.0000 0.0000 0.0000
```

Summary:
- Electronic total energy: -4.898 eV/atom

=====

Ta2MoAs2: relaxed, PBE-GGA.

Geometry as extended XYZ:
```
5
Lattice="-2.0977 2.0977 5.2404 2.0977 -2.0977 5.2404 2.0977 2.0977 -5.2404" Properties=species:S:1:pos:R:3 pbc="T T T"
Ta 0.0000 2.0977 2.6202
Ta 2.0977 0.0000 2.6202
As 0.0000 0.0000 6.4088
As 0.0000 0.0000 4.0720
Mo 0.0000 0.0000 0.0000
```

Summary:
- Electronic total energy: -8.291 eV/atom

=====

TaMoAs2: relaxed, PBE-GGA.

Geometry as extended XYZ:
```
4
Lattice="-0.9052 1.1947 4.2995 0.6247 4.3046 1.3464 -3.5926 2.6416 0.9206" Properties=species:S:1:pos:R:3 pbc="T T T"
As 0.0000 0.0000 0.0000
As -0.9683 2.0352 1.6416
Ta -2.9048 6.1057 4.9248
Mo -1.9366 4.0704 3.2832
```

Summary:
- Electronic total energy: -7.780 eV/atom

=====

TaMoAs: relaxed, PBE-GGA.

Geometry as extended XYZ:
```
3
Lattice="-1.4263 0.0216 4.0108 -1.1220 3.6709 1.8403 -4.1015 0.8155 0.7962" Properties=species:S:1:pos:R:3 pbc="T T T"
As 0.0000 0.0000 0.0000
Mo -1.6624 1.1270 1.6618
Ta -4.9873 3.3810 4.9855
```

Summary:
- Electronic total energy: -8.732 eV/atom

=====

TbMoAs: relaxed, PBE-GGA.

Geometry as extended XYZ:
```
3
Lattice="0.0000 3.1877 3.1877 3.1877 0.0000 3.1877 3.1877 3.1877 0.0000" Properties=species:S:1:pos:R:3 pbc="T T T"
As 0.0000 0.0000 0.0000
Tb 4.7815 4.7815 4.7815
Mo 1.5938 1.5938 1.5938
```

Summary:
- Electronic total energy: -6.803 eV/atom